Record 1
Compound: Rb2YReO6
Source: the Alexandria database
Functional: PBE-GGA
Structure: optimized geometry

Cell lengths 5.960, 5.960, 5.960 Å; angles 120.00, 120.00, 90.00 degrees
Fractional coordinates of all 10 atoms:
Rb (0.750, 0.250, 0.500)
Rb (0.250, 0.750, 0.500)
O (0.227, 0.227, 0.000)
O (0.227, 0.774, 0.000)
O (0.773, 0.774, 0.000)
O (0.773, 0.774, 0.546)
O (0.227, 0.227, 0.453)
O (0.773, 0.227, 0.000)
Y (0.500, 0.500, 0.000)
Re (0.000, 0.000, 0.000)

Computed properties:
SG: No. 225
E: -7.246 eV/atom
E_form (uncorrected): -2.186 eV/atom



Record 2
Compound: Rb3Y3ReO8
Source: the Alexandria database
Functional: PBE-GGA
Structure: optimized geometry

Cell lengths 6.835, 6.835, 7.686 Å; angles 116.41, 90.00, 120.00 degrees
Fractional coordinates of all 15 atoms:
O (0.792, 0.044, 0.336)
O (0.792, 0.584, 0.336)
O (0.724, 0.448, 0.672)
O (0.208, 0.956, 0.664)
O (0.252, 0.044, 0.336)
O (0.748, 0.956, 0.664)
O (0.276, 0.552, 0.328)
O (0.208, 0.416, 0.664)
Re (0.000, 0.000, 0.500)
Rb (0.000, 0.000, 0.000)
Rb (0.500, 0.500, 0.000)
Rb (0.000, 0.500, 0.000)
Y (0.000, 0.500, 0.500)
Y (0.500, 0.000, 0.500)
Y (0.500, 0.500, 0.500)

Computed properties:
SG: No. 166
E: -7.356 eV/atom
E_form (uncorrected): -2.396 eV/atom



Record 3
Compound: RbYReO6
Source: the Alexandria database
Functional: PBE-GGA
Structure: optimized geometry

Cell lengths 5.774, 5.832, 5.932 Å; angles 90.78, 91.57, 60.32 degrees
Fractional coordinates of all 9 atoms:
O (0.376, 0.571, 0.303)
O (0.579, 0.040, 0.346)
O (0.053, 0.571, 0.697)
O (0.574, 0.384, 0.691)
O (0.041, 0.384, 0.309)
O (0.382, 0.040, 0.654)
Re (0.318, 0.363, 0.500)
Rb (0.997, 0.005, 0.000)
Y (0.679, 0.641, 0.500)

Computed properties:
SG: No. 5
E: -7.505 eV/atom
E_form (uncorrected): -1.990 eV/atom



Record 4
Compound: RbYRe2O8
Source: the Alexandria database
Functional: PBE-GGA
Structure: optimized geometry

Cell lengths 6.045, 6.045, 7.959 Å; angles 90.00, 90.00, 120.00 degrees
Fractional coordinates of all 12 atoms:
O (0.342, 0.171, 0.327)
O (0.170, 0.342, 0.673)
O (0.333, 0.667, 0.972)
O (0.171, 0.830, 0.673)
O (0.658, 0.829, 0.673)
O (0.667, 0.333, 0.028)
O (0.830, 0.658, 0.327)
O (0.829, 0.170, 0.327)
Re (0.667, 0.333, 0.249)
Re (0.333, 0.667, 0.751)
Rb (0.000, 0.000, 0.000)
Y (0.000, 0.000, 0.500)

Computed properties:
SG: No. 164
E: -8.004 eV/atom
E_form (uncorrected): -2.004 eV/atom



Record 5
Compound: RbZnRe2O8
Source: the Alexandria database
Functional: PBE-GGA
Structure: optimized geometry

Cell lengths 5.563, 5.563, 8.184 Å; angles 90.00, 90.00, 120.00 degrees
Fractional coordinates of all 12 atoms:
O (0.738, 0.070, 0.346)
O (0.930, 0.668, 0.346)
O (0.070, 0.332, 0.654)
O (0.332, 0.262, 0.346)
O (0.262, 0.930, 0.654)
O (0.667, 0.333, 0.064)
O (0.668, 0.738, 0.654)
O (0.333, 0.667, 0.936)
Rb (0.000, 0.000, 0.000)
Zn (0.000, 0.000, 0.500)
Re (0.667, 0.333, 0.279)
Re (0.333, 0.667, 0.721)

Computed properties:
SG: No. 147
E: -7.169 eV/atom
E_form (uncorrected): -1.602 eV/atom



Record 6
Compound: RbRhO2
Source: the Alexandria database
Functional: PBE-GGA
Structure: optimized geometry

Cell lengths 15.135, 6.511, 6.511 Å; angles 92.64, 110.79, 69.21 degrees
Fractional coordinates of all 32 atoms:
O (0.779, 0.199, 0.237)
O (0.079, 0.132, 0.420)
O (0.250, 0.820, 0.320)
O (0.903, 0.792, 0.049)
O (0.750, 0.180, 0.680)
O (0.721, 0.737, 0.699)
O (0.279, 0.263, 0.301)
O (0.579, 0.080, 0.368)
O (0.921, 0.868, 0.580)
O (0.597, 0.549, 0.292)
O (0.403, 0.451, 0.708)
O (0.250, 0.337, 0.837)
O (0.221, 0.801, 0.763)
O (0.421, 0.920, 0.632)
O (0.750, 0.663, 0.163)
O (0.097, 0.208, 0.951)
Rh (0.821, 0.872, 0.270)
Rh (0.322, 0.783, 0.631)
Rh (0.679, 0.770, 0.372)
Rh (0.178, 0.131, 0.283)
Rh (0.822, 0.869, 0.717)
Rh (0.179, 0.128, 0.730)
Rh (0.321, 0.230, 0.628)
Rh (0.678, 0.217, 0.369)
Rb (0.394, 0.456, 0.184)
Rb (0.421, 0.925, 0.192)
Rb (0.894, 0.316, 0.044)
Rb (0.579, 0.075, 0.808)
Rb (0.106, 0.684, 0.956)
Rb (0.921, 0.308, 0.575)
Rb (0.606, 0.544, 0.816)
Rb (0.079, 0.692, 0.425)

Computed properties:
SG: No. 15
E: -5.372 eV/atom
E_form (uncorrected): -0.813 eV/atom



Record 7
Compound: Rb2Rh3O8
Source: the Alexandria database
Functional: PBE-GGA
Structure: optimized geometry

Cell lengths 5.344, 6.296, 7.366 Å; angles 115.30, 106.56, 90.00 degrees
Fractional coordinates of all 13 atoms:
Rh (0.000, 0.742, 0.000)
Rh (0.500, 0.000, 0.000)
Rh (0.000, 0.258, 0.000)
O (0.630, 0.706, 0.845)
O (0.897, 0.082, 0.163)
O (0.103, 0.918, 0.837)
O (0.025, 0.411, 0.823)
O (0.370, 0.294, 0.155)
O (0.975, 0.589, 0.177)
O (0.370, 0.862, 0.155)
O (0.630, 0.138, 0.845)
Rb (0.320, 0.273, 0.546)
Rb (0.680, 0.727, 0.454)

Computed properties:
SG: No. 12
E: -5.812 eV/atom
E_form (uncorrected): -0.916 eV/atom



Record 8
Compound: RbRh4O8
Source: the Alexandria database
Functional: PBE-GGA
Structure: optimized geometry

Cell lengths 6.212, 6.212, 7.601 Å; angles 65.88, 65.88, 60.00 degrees
Fractional coordinates of all 13 atoms:
O (0.285, 0.786, 0.144)
O (0.715, 0.214, 0.856)
O (0.786, 0.786, 0.144)
O (0.214, 0.715, 0.856)
O (0.287, 0.287, 0.140)
O (0.786, 0.285, 0.144)
O (0.713, 0.713, 0.860)
O (0.214, 0.214, 0.856)
Rh (0.000, 0.500, 0.000)
Rh (0.000, 0.000, 0.000)
Rh (0.500, 0.500, 0.000)
Rh (0.500, 0.000, 0.000)
Rb (0.500, 0.500, 0.500)

Computed properties:
SG: No. 166
E: -6.244 eV/atom
E_form (uncorrected): -0.857 eV/atom



Record 9
Compound: RbRhO2
Source: the Alexandria database
Functional: PBE-GGA
Structure: optimized geometry

Cell lengths 6.431, 7.271, 6.540 Å; angles 90.00, 90.00, 90.00 degrees
Fractional coordinates of all 16 atoms:
Rb (0.874, 0.142, 0.490)
Rb (0.626, 0.642, 0.990)
Rb (0.126, 0.858, 0.990)
Rb (0.374, 0.358, 0.490)
Rh (0.069, 0.350, 0.979)
Rh (0.431, 0.850, 0.479)
Rh (0.931, 0.650, 0.479)
Rh (0.569, 0.150, 0.979)
O (0.640, 0.667, 0.555)
O (0.140, 0.833, 0.555)
O (0.360, 0.333, 0.055)
O (0.529, 0.022, 0.726)
O (0.971, 0.522, 0.226)
O (0.471, 0.978, 0.226)
O (0.029, 0.478, 0.726)
O (0.860, 0.167, 0.055)

Computed properties:
SG: No. 33
E: -5.309 eV/atom
E_form (uncorrected): -0.751 eV/atom



Record 10
Compound: RbRhO2
Source: the Alexandria database
Functional: PBE-GGA
Structure: optimized geometry

Cell lengths 5.941, 5.826, 6.248 Å; angles 81.83, 107.97, 61.18 degrees
Fractional coordinates of all 8 atoms:
Rh (0.893, 0.142, 0.734)
Rh (0.600, 0.855, 0.726)
O (0.991, 0.742, 0.837)
O (0.676, 0.553, 0.594)
O (0.218, 0.019, 0.677)
O (0.596, 0.175, 0.821)
Rb (0.551, 0.458, 0.128)
Rb (0.090, 0.621, 0.448)

Computed properties:
SG: No. 1
E: -5.460 eV/atom
E_form (uncorrected): -0.902 eV/atom



Record 11
Compound: Rb2Rh2O5
Source: the Alexandria database
Functional: PBE-GGA
Structure: optimized geometry

Cell lengths 4.061, 6.313, 6.942 Å; angles 102.15, 90.00, 108.76 degrees
Fractional coordinates of all 9 atoms:
O (0.683, 0.365, 0.978)
O (0.884, 0.769, 0.349)
O (0.000, 0.000, 0.000)
O (0.116, 0.231, 0.651)
O (0.317, 0.635, 0.022)
Rh (0.149, 0.298, 0.926)
Rh (0.851, 0.702, 0.074)
Rb (0.408, 0.817, 0.656)
Rb (0.592, 0.183, 0.344)

Computed properties:
SG: No. 12
E: -5.390 eV/atom
E_form (uncorrected): -0.786 eV/atom



Record 12
Compound: Rb3RhO3
Source: the Alexandria database
Functional: PBE-GGA
Structure: optimized geometry

Cell lengths 5.808, 8.379, 8.379 Å; angles 119.89, 90.00, 90.00 degrees
Fractional coordinates of all 14 atoms:
Rb (0.250, 0.182, 0.365)
Rb (0.750, 0.365, 0.183)
Rb (0.250, 0.182, 0.818)
Rb (0.750, 0.818, 0.635)
Rb (0.750, 0.818, 0.182)
Rb (0.250, 0.635, 0.817)
Rh (0.750, 0.333, 0.667)
Rh (0.250, 0.667, 0.333)
O (0.250, 0.796, 0.590)
O (0.750, 0.205, 0.796)
O (0.250, 0.410, 0.205)
O (0.750, 0.590, 0.795)
O (0.250, 0.795, 0.204)
O (0.750, 0.204, 0.410)

Computed properties:
SG: No. 63
energy above the most stable polymorph in this dataset: 0.14 eV/f.u.
E: -4.647 eV/atom
E_form (uncorrected): -1.057 eV/atom



Record 13
Compound: RbRhO2
Source: the Alexandria database
Functional: PBE-GGA
Structure: optimized geometry

Cell lengths 7.062, 4.544, 4.544 Å; angles 139.89, 123.86, 56.14 degrees
Fractional coordinates of all 4 atoms:
O (0.204, 0.358, 0.642)
O (0.796, 0.642, 0.358)
Rh (0.000, 0.000, 0.000)
Rb (0.500, 0.500, 0.500)

Computed properties:
SG: No. 12
E: -5.394 eV/atom
E_form (uncorrected): -0.835 eV/atom



Record 14
Compound: RbRhO2
Source: the Alexandria database
Functional: PBE-GGA
Structure: optimized geometry

Cell lengths 11.154, 5.671, 5.671 Å; angles 73.52, 123.12, 56.88 degrees
Fractional coordinates of all 8 atoms:
Rb (0.254, 0.557, 0.693)
Rb (0.754, 0.807, 0.943)
O (0.626, 0.560, 0.562)
O (0.382, 0.925, 0.697)
O (0.882, 0.803, 0.575)
O (0.126, 0.938, 0.940)
Rh (0.754, 0.306, 0.444)
Rh (0.254, 0.056, 0.194)

Computed properties:
SG: No. 122
E: -5.365 eV/atom
E_form (uncorrected): -0.806 eV/atom



Record 15
Compound: RbRhO2
Source: the Alexandria database
Functional: PBE-GGA
Structure: optimized geometry

Cell lengths 6.371, 5.804, 4.680 Å; angles 90.00, 98.59, 117.10 degrees
Fractional coordinates of all 8 atoms:
O (0.253, 0.651, 0.211)
O (0.753, 0.357, 0.211)
O (0.753, 0.857, 0.211)
O (0.253, 0.063, 0.211)
Rb (0.980, 0.221, 0.788)
Rb (0.526, 0.494, 0.633)
Rh (0.525, 0.993, 0.203)
Rh (0.981, 0.721, 0.218)

Computed properties:
SG: No. 12
E: -5.479 eV/atom
E_form (uncorrected): -0.920 eV/atom



Record 16
Compound: RbRhO2
Source: the Alexandria database
Functional: PBE-GGA
Structure: optimized geometry

Cell lengths 6.206, 6.206, 5.259 Å; angles 53.84, 53.84, 90.00 degrees
Fractional coordinates of all 8 atoms:
O (0.250, 0.250, 0.000)
O (0.750, 0.750, 0.000)
O (0.250, 0.750, 0.000)
O (0.750, 0.250, 0.000)
Rh (0.250, 0.250, 0.500)
Rh (0.750, 0.750, 0.500)
Rb (0.250, 0.750, 0.500)
Rb (0.750, 0.250, 0.500)

Computed properties:
SG: No. 123
E: -4.168 eV/atom
E_form (uncorrected): 0.391 eV/atom



Record 17
Compound: Rb4RhO5
Source: the Alexandria database
Functional: PBE-GGA
Structure: optimized geometry

Cell lengths 5.745, 6.696, 6.696 Å; angles 79.40, 64.60, 64.60 degrees
Fractional coordinates of all 10 atoms:
Rb (0.619, 0.598, 0.187)
Rb (0.806, 0.813, 0.598)
Rb (0.403, 0.402, 0.813)
Rb (0.217, 0.187, 0.402)
O (0.221, 0.853, 0.717)
O (0.791, 0.147, 0.283)
O (0.384, 0.000, 0.000)
O (0.938, 0.283, 0.853)
O (0.073, 0.717, 0.147)
Rh (0.059, 0.000, 0.000)

Computed properties:
SG: No. 79
E: -4.650 eV/atom
E_form (uncorrected): -1.048 eV/atom



Record 18
Compound: Rb2Rh2O
Source: the Alexandria database
Functional: PBE-GGA
Structure: optimized geometry

Cell lengths 3.505, 3.505, 10.286 Å; angles 80.19, 80.19, 90.00 degrees
Fractional coordinates of all 5 atoms:
Rh (0.750, 0.250, 0.500)
Rh (0.250, 0.750, 0.500)
Rb (0.419, 0.419, 0.163)
Rb (0.581, 0.581, 0.837)
O (0.000, 0.000, 0.000)

Computed properties:
SG: No. 139
E: -4.279 eV/atom
E_form (uncorrected): 0.041 eV/atom



Record 19
Compound: RbRhO2
Source: the Alexandria database
Functional: PBE-GGA
Structure: optimized geometry

Cell lengths 3.278, 3.278, 6.406 Å; angles 89.97, 75.16, 60.00 degrees
Fractional coordinates of all 4 atoms:
Rh (0.956, 0.932, 0.042)
O (0.726, 0.547, 0.886)
O (0.183, 0.318, 0.200)
Rb (0.611, 0.104, 0.558)

Computed properties:
SG: No. 160
E: -5.479 eV/atom
E_form (uncorrected): -0.920 eV/atom



Record 20
Compound: Rb8Rh3O8
Source: the Alexandria database
Functional: PBE-GGA
Structure: optimized geometry

Cell lengths 5.804, 8.289, 10.810 Å; angles 106.64, 105.57, 90.00 degrees
Fractional coordinates of all 19 atoms:
O (0.176, 0.414, 0.352)
O (0.729, 0.827, 0.457)
O (0.521, 0.296, 0.041)
O (0.824, 0.586, 0.648)
O (0.479, 0.704, 0.959)
O (0.111, 0.012, 0.222)
O (0.889, 0.988, 0.778)
O (0.271, 0.173, 0.543)
Rh (0.813, 0.799, 0.627)
Rh (0.187, 0.201, 0.373)
Rh (0.500, 0.500, 0.000)
Rb (0.801, 0.215, 0.602)
Rb (0.664, 0.454, 0.327)
Rb (0.023, 0.252, 0.045)
Rb (0.199, 0.785, 0.398)
Rb (0.394, 0.051, 0.789)
Rb (0.336, 0.546, 0.673)
Rb (0.606, 0.949, 0.211)
Rb (0.977, 0.748, 0.955)

Computed properties:
SG: No. 12
E: -4.691 eV/atom
E_form (uncorrected): -1.035 eV/atom



Record 21
Compound: Rb3RhO3
Source: the Alexandria database
Functional: PBE-GGA
Structure: optimized geometry

Cell lengths 5.855, 7.547, 7.529 Å; angles 101.81, 90.00, 90.00 degrees
Fractional coordinates of all 14 atoms:
O (0.750, 0.459, 0.197)
O (0.250, 0.541, 0.803)
O (0.750, 0.804, 0.544)
O (0.250, 0.196, 0.456)
O (0.750, 0.867, 0.134)
O (0.250, 0.133, 0.866)
Rb (0.250, 0.416, 0.185)
Rb (0.250, 0.813, 0.585)
Rb (0.750, 0.584, 0.815)
Rb (0.750, 0.108, 0.890)
Rb (0.750, 0.187, 0.415)
Rb (0.250, 0.892, 0.110)
Rh (0.250, 0.294, 0.705)
Rh (0.750, 0.706, 0.295)

Computed properties:
SG: No. 11
energy above the most stable polymorph in this dataset: 0.00 eV/f.u.
E: -4.667 eV/atom
E_form (uncorrected): -1.077 eV/atom